1.
## CuTcSn2Mo (PBE)

Data for CuTcSn2Mo after structural relaxation.

Lattice parameters (Å, degrees): 5.242 5.242 4.698 90.00 90.00 90.00
Space group P4/mmm (No. 123)
Asymmetric unit:
Cu1 0.000 0.000 0.000 x1
Tc1 0.500 0.500 0.000 x1
Sn1 0.000 0.500 0.500 x2
Mo1 0.500 0.500 0.500 x1

Properties
* energy relative to the elements: 5.9 eV per formula unit
* crystal system: tetragonal


2.
## SrCuMo3 (PBE)

Data for SrCuMo3 after structural relaxation.

Lattice parameters (Å, degrees): 4.733 4.733 4.733 90.00 90.00 90.00
Space group Pm-3m (No. 221)
Asymmetric unit:
Sr1 0.000 0.000 0.000 x1
Cu1 0.500 0.500 0.500 x1
Mo1 0.000 0.500 0.500 x3

Properties
* energy relative to the elements: 8.0 eV per formula unit
* crystal system: cubic


3.
## SrCu4Mo (PBE)

Data for SrCu4Mo after structural relaxation.

Lattice parameters (Å, degrees): 7.325 7.325 7.325 90.00 90.00 90.00
Space group F-43m (No. 216)
Asymmetric unit:
Sr1 0.000 0.000 0.000 x4
Cu1 0.124 0.124 0.624 x16
Mo1 0.250 0.250 0.250 x4

Properties
* energy relative to the elements: 2.6 eV per formula unit
* crystal system: cubic